Record 1
# Cd9O2F14 PBE optimized geometry
data_Cd9O2F14
_space_group_name_H-M_alt 'P -3'
_space_group_IT_number 147
_cell_length_a 6.7351
_cell_length_b 6.7351
_cell_length_c 9.4415
_cell_angle_alpha 90.00
_cell_angle_beta 90.00
_cell_angle_gamma 120.00
loop_
_space_group_symop_operation_xyz
'x,y,z'
'-x,-y,-z'
'-y,x-y,z'
'y,-x+y,-z'
'-x+y,-x,z'
'x-y,x,-z'
loop_
_atom_site_label
_atom_site_fract_x
_atom_site_fract_y
_atom_site_fract_z
Cd1 0.0000 0.0000 0.0000
Cd2 0.0435 0.3493 0.3374
Cd3 0.3333 0.6667 0.0300
O1 0.3333 0.6667 0.2599
F1 0.0000 0.0000 0.2539
F2 0.0593 0.6974 0.9085
F3 0.0757 0.3795 0.5891
# E_form (uncorrected) ... -2019.8 meV per atom
# Total magnetization ... 0.0 μB/cell


Record 2
# Sm6HgN PBE optimized geometry
data_Sm6HgN
_space_group_name_H-M_alt 'P -1'
_space_group_IT_number 2
_cell_length_a 6.660
_cell_length_b 6.686
_cell_length_c 7.263
_cell_angle_alpha 62.86
_cell_angle_beta 63.06
_cell_angle_gamma 60.17
loop_
_space_group_symop_operation_xyz
'x,y,z'
'-x,-y,-z'
loop_
_atom_site_label
_atom_site_fract_x
_atom_site_fract_y
_atom_site_fract_z
Sm1 0.037 0.398 0.274
Sm2 0.210 0.965 0.726
Sm3 0.396 0.792 0.275
Hg1 0.500 0.500 0.000
N1 0.000 0.000 0.500
# E_form (uncorrected) ... -340.0 meV per atom
# Total magnetization ... 0.0 μB/cell